1.
# GGA-PBE KNa2Au, relaxed
# Fermi-level density of states = 0.921 states/eV/f.u.
# V = 31.47 Å³ per atom
# energy of formation from the pure elements = -0.101 eV/atom
# energy above the lowest structure with this stoichiometry = 103.0 meV/atom
# spin magnetization = 0.00 μB per formula unit
# final energy = -1.854 eV per atom
data_KNa2Au
_chemical_formula_sum 'K1 Na2 Au1'
_space_group_name_H-M_alt 'P 4/m m m'
_space_group_IT_number 123
_space_group_name_Hall '-P 4 2'
_cell_length_a 4.836
_cell_length_b 4.836
_cell_length_c 5.384
_cell_angle_alpha 90.00
_cell_angle_beta 90.00
_cell_angle_gamma 90.00
loop_
_atom_site_label
_atom_site_type_symbol
_atom_site_fract_x
_atom_site_fract_y
_atom_site_fract_z
_atom_site_occupancy
K1 K 0.000 0.000 0.000 1
Na1 Na 0.000 0.500 0.500 1
Au1 Au 0.500 0.500 0.000 1



2.
# GGA-PBE Ac12Ru3N5, relaxed
# Fermi-level density of states = 12.160 states/eV/f.u.
# V = 28.86 Å³ per atom
# spin magnetization = 0.00 μB per formula unit
# final energy = -6.461 eV per atom
data_Ac12Ru3N5
_chemical_formula_sum 'Ac96 Ru24 N40'
_space_group_name_H-M_alt 'I a -3 d'
_space_group_IT_number 230
_space_group_name_Hall '-I 4bd 2c 3'
_cell_length_a 16.652
_cell_length_b 16.652
_cell_length_c 16.652
_cell_angle_alpha 90.00
_cell_angle_beta 90.00
_cell_angle_gamma 90.00
loop_
_atom_site_label
_atom_site_type_symbol
_atom_site_fract_x
_atom_site_fract_y
_atom_site_fract_z
_atom_site_occupancy
Ac1 Ac 0.029 0.054 0.652 1
Ru1 Ru 0.000 0.250 0.125 1
N1 N 0.000 0.000 0.000 1
N2 N 0.000 0.250 0.375 1



3.
# GGA-PBE NaGa2Si2, relaxed
# Fermi-level density of states = 2.413 states/eV/f.u.
# V = 18.89 Å³ per atom
# energy above the lowest structure with this stoichiometry = 215.4 meV/atom
# spin magnetization = 0.00 μB per formula unit
# final energy = -3.446 eV per atom
data_NaGa2Si2
_chemical_formula_sum 'Na2 Ga4 Si4'
_space_group_name_H-M_alt 'P 4/m b m'
_space_group_IT_number 127
_space_group_name_Hall '-P 4 2ab'
_cell_length_a 7.455
_cell_length_b 7.455
_cell_length_c 3.399
_cell_angle_alpha 90.00
_cell_angle_beta 90.00
_cell_angle_gamma 90.00
loop_
_atom_site_label
_atom_site_type_symbol
_atom_site_fract_x
_atom_site_fract_y
_atom_site_fract_z
_atom_site_occupancy
Na1 Na 0.000 0.000 0.000 1
Ga1 Ga 0.164 0.336 0.500 1
Si1 Si 0.121 0.621 0.000 1



4.
# GGA-PBE CePm2SmBi4, relaxed
# Fermi-level density of states = 7.958 states/eV/f.u.
# V = 33.92 Å³ per atom
# energy of formation from the pure elements = -0.901 eV/atom
# spin magnetization = 0.79 μB per formula unit
# final energy = -5.361 eV per atom
data_CePm2SmBi4
_chemical_formula_sum 'Ce1 Pm2 Sm1 Bi4'
_space_group_name_H-M_alt 'P 1 2/m 1'
_space_group_IT_number 10
_cell_length_a 7.929
_cell_length_b 4.575
_cell_length_c 7.930
_cell_angle_alpha 90.00
_cell_angle_beta 109.38
_cell_angle_gamma 90.00
loop_
_space_group_symop_operation_xyz
'x,y,z'
'-x,-y,-z'
'-x,y,-z'
'x,-y,z'
loop_
_atom_site_label
_atom_site_type_symbol
_atom_site_fract_x
_atom_site_fract_y
_atom_site_fract_z
_atom_site_occupancy
Ce1 Ce 0.000 0.000 0.000 1
Pm1 Pm 0.000 0.500 0.500 1
Pm2 Pm 0.500 0.000 0.500 1
Sm1 Sm 0.500 0.500 0.000 1
Bi1 Bi 0.250 0.000 0.751 1
Bi2 Bi 0.250 0.500 0.249 1



Question: Among the records above, which one has the highest Fermi-level density of states?
Answer: Ac12Ru3N5



Question: Look up the Fermi-level density of states of the fourth one.
Answer: 7.958 states/eV/f.u.



Please write out number 1 again, unchanged.
# GGA-PBE KNa2Au, relaxed
# Fermi-level density of states = 0.921 states/eV/f.u.
# V = 31.47 Å³ per atom
# energy of formation from the pure elements = -0.101 eV/atom
# energy above the lowest structure with this stoichiometry = 103.0 meV/atom
# spin magnetization = 0.00 μB per formula unit
# final energy = -1.854 eV per atom
data_KNa2Au
_chemical_formula_sum 'K1 Na2 Au1'
_space_group_name_H-M_alt 'P 4/m m m'
_space_group_IT_number 123
_space_group_name_Hall '-P 4 2'
_cell_length_a 4.836
_cell_length_b 4.836
_cell_length_c 5.384
_cell_angle_alpha 90.00
_cell_angle_beta 90.00
_cell_angle_gamma 90.00
loop_
_atom_site_label
_atom_site_type_symbol
_atom_site_fract_x
_atom_site_fract_y
_atom_site_fract_z
_atom_site_occupancy
K1 K 0.000 0.000 0.000 1
Na1 Na 0.000 0.500 0.500 1
Au1 Au 0.500 0.500 0.000 1